Below is Cd2In8Bi after structural relaxation, with properties calculated at the PBE-GGA level.

The value obtained for the density of states at the Fermi level is 5.356 states/eV/f.u. The calculation puts the excess energy over the best structure of this formula in the dataset at 0.0000 eV per atom. Its calculated formation energy is 0.044 eV per atom. The value obtained for the spin magnetization is 0.0 μB per cell.

It has space group P4/mmm (No. 123), with a = 4.682 Å, b = 4.682 Å, c = 14.132 Å, α = 90.00°, β = 90.00° and γ = 90.00°. Symmetry generates all atoms from Cd at (0.000, 0.000, 0.167), In at (0.000, 0.500, 0.000), In at (0.000, 0.500, 0.339), In at (0.500, 0.500, 0.174) and Bi at (0.000, 0.000, 0.500).

---

Below is Cd2In5Bi4 after structural relaxation, with properties calculated at the PBE-GGA level.

The value obtained for the density of states at the Fermi level is 3.157 states/eV/f.u. Its calculated formation energy is 0.040 eV per atom. The value obtained for the spin magnetization is 0.0 μB per cell.

It has space group P-1 (No. 2), with a = 5.164 Å, b = 7.719 Å, c = 9.088 Å, α = 99.57°, β = 106.17° and γ = 90.28°. Symmetry generates all atoms from Cd at (0.128, 0.401, 0.255), In at (0.000, 0.000, 0.000), In at (0.297, 0.388, 0.595), In at (0.325, 0.932, 0.658), Bi at (0.152, 0.819, 0.298) and Bi at (0.458, 0.691, 0.919).

---

Below is Cd6In12Bi after structural relaxation, with properties calculated at the PBE-GGA level.

The value obtained for the density of states at the Fermi level is 8.997 states/eV/f.u. Its calculated formation energy is 0.116 eV per atom. The value obtained for the spin magnetization is 0.0 μB per cell.

It has space group R-3m (No. 166, hexagonal axes), with a = 14.6437 Å, b = 14.6437 Å, c = 9.0757 Å, α = 90.00°, β = 90.00° and γ = 120.00°. Symmetry generates all atoms from Cd at (0.0787, 0.1574, 0.2527), In at (0.0000, 0.3698, 0.0000), In at (0.0995, 0.5498, 0.5942) and Bi at (0.0000, 0.0000, 0.5000).

---

Below is CdIn5Bi2 after structural relaxation, with properties calculated at the PBE-GGA level.

The value obtained for the density of states at the Fermi level is 4.604 states/eV/f.u. Its calculated formation energy is 0.030 eV per atom. The value obtained for the spin magnetization is 0.0 μB per cell.

It has space group Pbam (No. 55), with a = 6.913 Å, b = 13.926 Å, c = 4.746 Å, α = 90.00°, β = 90.00° and γ = 90.00°. Symmetry generates all atoms from Cd at (0.000, 0.000, 0.000), In at (0.000, 0.500, 0.000), In at (0.058, 0.246, 0.000), In at (0.198, 0.633, 0.500) and Bi at (0.202, 0.885, 0.500).

---

Below is CdIn6Bi4 after structural relaxation, with properties calculated at the PBE-GGA level.

The value obtained for the density of states at the Fermi level is 4.438 states/eV/f.u. Its calculated formation energy is 0.034 eV per atom. The value obtained for the spin magnetization is 0.0 μB per cell.

It has space group P1 (No. 1), with a = 3.452 Å, b = 8.913 Å, c = 11.528 Å, α = 111.60°, β = 98.58° and γ = 90.23°. Symmetry generates all atoms from Cd at (0.000, 0.000, 0.000), In at (0.195, 0.533, 0.402), In at (0.455, 0.625, 0.913), In at (0.621, 0.173, 0.251), In at (0.734, 0.875, 0.469), In at (0.823, 0.578, 0.654), In at (0.894, 0.274, 0.789), Bi at (0.053, 0.403, 0.103), Bi at (0.090, 0.792, 0.180), Bi at (0.255, 0.222, 0.517) and Bi at (0.376, 0.934, 0.752).

---

Below is CdIn4Bi after structural relaxation, with properties calculated at the PBE-GGA level.

The value obtained for the density of states at the Fermi level is 2.445 states/eV/f.u. The calculation puts the excess energy over the best structure of this formula in the dataset at 0.0000 eV per atom. Its calculated formation energy is 0.029 eV per atom. The value obtained for the spin magnetization is 0.0 μB per cell.

It has space group C2/m (No. 12), with a = 10.733 Å, b = 5.070 Å, c = 6.609 Å, α = 90.00°, β = 113.00° and γ = 90.00°. Symmetry generates all atoms from Cd at (0.000, 0.000, 0.000), In at (0.155, 0.500, 0.316), In at (0.178, 0.500, 0.833) and Bi at (0.000, 0.000, 0.500).